# 1
An optimized crystal structure of ZrRe2Tc, computed with PBE.

Calculated values
- Total magnetic moment: 0.00 μB per formula unit
- Energy above the lowest structure with this stoichiometry: 10.8 kJ per mole of atoms
- Calculated formation energy: 0.045 eV/atom
- Electronic total energy: -43.63 eV/f.u.
- Calculated volume: 65.0 Å³/cell

a b c (Å): 2.7802 4.5304 5.2575
angles (deg): 90.00 101.09 90.00
Space group P2/m (No. 10)
One atom of each set of equivalent atoms:
Zr 0.0000 0.0000 0.0000 (multiplicity 1)
Re 0.2389 0.5000 0.7418 (multiplicity 2)
Tc 0.5000 0.0000 0.5000 (multiplicity 1)

---

# 2
An optimized crystal structure of KNaAgPd, computed with PBE.

Calculated values
- Total magnetic moment: 0.00 μB per formula unit
- Calculated formation energy: 0.098 eV/atom
- Electronic total energy: -10.07 eV/f.u.
- Calculated volume: 376.4 Å³/cell

a b c (Å): 7.2200 7.2200 7.2200
angles (deg): 90.00 90.00 90.00
Space group F-43m (No. 216)
One atom of each set of equivalent atoms:
K 0.0000 0.0000 0.0000 (multiplicity 4)
Na 0.2500 0.2500 0.7500 (multiplicity 4)
Ag 0.2500 0.2500 0.2500 (multiplicity 4)
Pd 0.0000 0.0000 0.5000 (multiplicity 4)

---

# 3
An optimized crystal structure of RbSb2Se, computed with PBE.

Calculated values
- Total magnetic moment: 0.00 μB per formula unit
- Energy relative to the elements, uncorrected: -0.346 eV/atom
- Electronic total energy: -14.08 eV/f.u.
- Calculated volume: 285.9 Å³/cell

a b c (Å): 5.8961 6.0283 8.5557
angles (deg): 90.00 109.94 90.00
Space group Cm (No. 8)
One atom of each set of equivalent atoms:
Rb 0.0000 0.0000 0.0000 (multiplicity 2)
Sb 0.1953 0.5000 0.3830 (multiplicity 2)
Sb 0.2529 0.0000 0.4992 (multiplicity 2)
Se 0.4054 0.0000 0.8088 (multiplicity 2)

---

Q: Among the records above, which one has the highest electronic total energy?
A: KNaAgPd

---

Q: Which formula does entry 3 have?
A: RbSb2Se

---

Q: Which formula does entry 1 have?
A: ZrRe2Tc